No. 1
VASP calculation (PBE) on a geometry-optimized CaIn4Ni structure.

The structure in extended XYZ format:
```
12
Lattice="-2.446 -2.404 2.833 4.915 -5.533 -0.451 5.487 4.459 5.100" Properties=species:S:1:pos:R:3 pbc="T T T"
In 6.715 0.479 6.286
Ca 2.290 -0.579 1.518
In 4.883 -0.479 3.864
Ni 2.333 -0.814 4.863
Ni 5.610 -2.688 2.608
Ca 5.653 -2.921 5.954
In 3.061 -3.022 3.608
In 3.650 0.193 6.865
In 5.051 -5.262 3.426
In 4.293 -3.693 0.606
In 2.893 1.761 4.046
In 4.257 3.246 6.511
```

Results
As for the symmetry: P2_1/m. Its density is 6.66 g cm⁻³.



No. 2
VASP calculation (PBE) on a geometry-optimized CaIn2Ni2 structure.

The structure in extended XYZ format:
```
10
Lattice="4.530 0.000 0.000 0.000 4.530 0.000 -2.265 -2.265 10.083" Properties=species:S:1:pos:R:3 pbc="T T T"
In 0.000 0.000 3.807
In 2.265 0.000 0.000
In 0.000 2.265 0.000
In 2.265 2.265 6.276
Ni 2.265 0.000 5.041
Ca 0.000 0.000 7.339
Ni 2.265 2.265 8.802
Ni 0.000 0.000 1.280
Ca 2.265 2.265 2.744
Ni 0.000 2.265 5.041
```

Results
As for the symmetry: I4/mmm. Its density is 6.21 g cm⁻³. As for the distance to the lowest polymorph of the same formula: 0.033 eV per atom.



No. 3
VASP calculation (PBE) on a geometry-optimized CaInNi4 structure.

The structure in extended XYZ format:
```
12
Lattice="9.273 0.003 0.000 -8.433 3.858 0.000 0.000 0.000 5.308" Properties=species:S:1:pos:R:3 pbc="T T T"
Ni 2.746 1.424 5.146
Ni 2.746 1.424 2.817
In -6.960 3.537 1.327
Ca 5.219 0.885 1.327
Ni -1.905 2.437 2.492
Ni 8.093 0.260 1.327
Ni -1.905 2.437 0.163
Ca -4.379 2.975 3.981
Ni 0.420 1.930 2.654
In 7.800 0.324 3.981
Ni 0.420 1.930 0.000
Ni -7.252 3.601 3.981
```

Results
As for the symmetry: Cmcm. Its density is 6.81 g cm⁻³.



No. 4
VASP calculation (PBE) on a geometry-optimized Ca3In3Ni2 structure.

The structure in extended XYZ format:
```
8
Lattice="-3.689 -1.468 1.586 0.527 -4.420 -2.850 2.567 -5.649 6.505" Properties=species:S:1:pos:R:3 pbc="T T T"
In -1.581 -2.944 -0.632
In -0.477 -5.330 5.477
In -0.119 -6.206 -0.236
Ca 0.000 0.000 0.000
Ni 0.630 -3.824 3.679
Ca 1.433 -6.595 2.992
Ca -2.029 -4.942 2.249
Ni -1.225 -7.712 1.562
```

Results
As for the symmetry: P-1. Its density is 4.97 g cm⁻³. As for the distance to the lowest polymorph of the same formula: 0.000 eV per atom.



No. 5
VASP calculation (PBE) on a geometry-optimized Ca2InNi structure.

The structure in extended XYZ format:
```
8
Lattice="1.861 -6.052 0.000 1.861 6.052 0.000 0.000 0.000 8.938" Properties=species:S:1:pos:R:3 pbc="T T T"
In 1.861 -0.867 2.235
Ca 1.861 -4.421 3.893
Ni 1.861 -3.339 6.704
In 1.861 0.867 6.704
Ca 1.861 -4.421 0.576
Ca 1.861 4.421 5.045
Ni 1.861 3.339 2.235
Ca 1.861 4.421 8.363
```

Results
As for the symmetry: Cmcm. Its density is 4.18 g cm⁻³.



No. 6
VASP calculation (PBE) on a geometry-optimized Ca2InNi structure.

The structure in extended XYZ format:
```
4
Lattice="-2.594 -1.783 -1.512 2.016 -0.562 -2.795 2.880 -7.176 3.521" Properties=species:S:1:pos:R:3 pbc="T T T"
In 1.624 -4.047 1.986
Ni 1.736 -6.218 0.322
Ca 2.672 -6.656 3.266
Ca 0.591 -3.364 -1.078
```

Results
As for the symmetry: P4mm. Its density is 4.07 g cm⁻³.



No. 7
VASP calculation (PBE) on a geometry-optimized Ca2InNi structure.

The structure in extended XYZ format:
```
8
Lattice="-3.669 3.762 8.630 -9.405 -1.874 -3.182 -6.435 -1.321 3.755" Properties=species:S:1:pos:R:3 pbc="T T T"
Ni -11.189 -1.125 1.649
Ca -8.525 -0.437 1.393
Ca -4.498 1.192 4.571
Ni -6.537 0.944 2.724
Ca -11.215 -0.579 4.357
In -8.320 1.693 7.555
In 0.000 0.000 0.000
Ca -14.780 0.958 8.087
```

Results
As for the symmetry: I-42d. Its density is 3.31 g cm⁻³.



No. 8
VASP calculation (PBE) on a geometry-optimized Ca6InNi2 structure.

The structure in extended XYZ format:
```
18
Lattice="-7.785 -1.154 -3.878 6.370 -4.660 -3.832 -0.028 -2.820 8.308" Properties=species:S:1:pos:R:3 pbc="T T T"
Ca -3.059 -4.439 1.509
Ca -0.094 -2.563 1.949
Ni -1.432 -4.905 3.961
Ca 1.617 -4.195 -0.912
Ni -2.949 -1.500 1.672
Ca -4.712 -2.105 -3.724
In 3.171 -3.740 2.238
Ca -1.349 -6.071 -1.352
Ca -1.850 -2.422 -1.426
Ca 3.269 -6.528 4.322
Ni -0.011 -3.728 -3.364
In 0.000 0.000 0.000
Ca 1.000 -3.778 5.250
Ca 3.860 -6.841 0.671
Ca 0.407 -6.211 2.023
Ni -4.864 -2.474 2.758
Ca -5.303 -1.793 -0.074
Ca -2.442 -4.855 -4.653
```

Results
As for the symmetry: Immm. Its density is 3.04 g cm⁻³.



No. 9
VASP calculation (PBE) on a geometry-optimized CaIn2Ni2 structure.

The structure in extended XYZ format:
```
5
Lattice="-3.457 -1.776 -1.005 2.390 -2.574 -3.672 2.115 -2.219 4.665" Properties=species:S:1:pos:R:3 pbc="T T T"
Ca 0.000 0.000 0.000
Ni -1.269 -2.631 0.995
In 1.282 -3.266 1.363
Ni 2.317 -3.938 -1.009
In -0.233 -3.303 -1.377
```

Results
As for the symmetry: C2/m. Its density is 6.23 g cm⁻³. As for the distance to the lowest polymorph of the same formula: 0.000 eV per atom.



No. 10
VASP calculation (PBE) on a geometry-optimized CaIn2Ni2 structure.

The structure in extended XYZ format:
```
10
Lattice="-1.099 1.625 -7.622 6.830 -3.506 -1.732 -1.436 -2.625 -0.353" Properties=species:S:1:pos:R:3 pbc="T T T"
Ni 3.661 -3.381 -2.615
Ni 4.230 -3.143 -6.710
In 2.374 -1.079 -1.639
Ni 0.635 -1.124 -7.092
In 0.203 0.566 -5.039
Ca 2.866 -0.940 -4.677
In 3.357 -0.801 -7.715
Ca 0.000 0.000 0.000
In 5.529 -2.446 -4.315
Ni 0.065 -1.362 -2.997
```

Results
As for the symmetry: P4/mbm. Its density is 6.89 g cm⁻³. As for the distance to the lowest polymorph of the same formula: 0.154 eV per atom.



No. 11
VASP calculation (PBE) on a geometry-optimized CaIn6Ni6 structure.

The structure in extended XYZ format:
```
13
Lattice="-0.125 -4.297 3.139 2.992 -5.552 -2.969 5.699 -0.558 3.975" Properties=species:S:1:pos:R:3 pbc="T T T"
Ni 2.787 -2.428 3.557
In 5.690 -5.493 1.732
Ni 1.434 -4.924 0.085
Ca 0.000 0.000 0.000
Ni 4.984 -3.910 3.872
Ni 3.582 -6.498 0.273
Ni 1.496 -2.776 -1.484
In 2.876 -4.914 2.413
In 4.809 -2.200 1.692
In 1.493 -2.468 1.193
Ni 2.849 -0.279 1.988
In 3.882 -3.910 -0.685
In 7.073 -7.939 2.952
```

Results
As for the symmetry: Immm. Its density is 8.13 g cm⁻³.



No. 12
VASP calculation (PBE) on a geometry-optimized CaIn2Ni2 structure.

The structure in extended XYZ format:
```
5
Lattice="-3.662 -2.408 -1.307 2.591 -2.332 -2.962 0.457 -5.829 1.456" Properties=species:S:1:pos:R:3 pbc="T T T"
Ni 1.256 -5.265 -1.820
Ni -1.871 -5.304 -0.993
Ca 0.000 0.000 0.000
In -0.361 -7.215 -1.700
In -0.253 -3.354 -1.113
```

Results
As for the symmetry: I4/mmm. Its density is 6.04 g cm⁻³. As for the distance to the lowest polymorph of the same formula: 0.108 eV per atom.



In eV/atom, the calculated formation energy values for the records above are, in order, -0.29; -0.22; -0.02; -0.36; -0.21; -0.13; -0.09; -0.19; -0.25; -0.10; -0.20; -0.15.